# Mo2Os2Rh

A relaxed Mo2Os2Rh crystal (PBE, Alexandria via LeMat-Bulk).

Formation enthalpy at 0 K = 0.87 eV/f.u.
ρ = 14.245 g/cm³
Excess energy over the best structure of this formula in the dataset = 123 meV per atom
Total magnetic moment = 0.000 μB/f.u.
Calculated volume = 15.7 Å³/atom
Total DFT energy (no corrections) = -101.2 eV for the cell shown

Cell lengths 7.359, 7.359, 2.907 Å; angles 90.00, 90.00, 90.00 degrees
Element x y z (fractional)
Rh  0.000  0.000  0.000
Rh  0.500  0.500  0.000
Mo  0.166  0.666  0.500
Mo  0.666  0.834  0.500
Mo  0.834  0.334  0.500
Mo  0.334  0.166  0.500
Os  0.867  0.633  0.000
Os  0.133  0.367  0.000
Os  0.633  0.133  0.000
Os  0.367  0.867  0.000

=====

# LaCrRe2

A relaxed LaCrRe2 crystal (PBE, Alexandria via LeMat-Bulk).

Formation enthalpy at 0 K = 2.45 eV/f.u.
ρ = 13.655 g/cm³
Excess energy over the best structure of this formula in the dataset = 269 meV per atom
Total magnetic moment = 0.001 μB/f.u.
Calculated volume = 17.1 Å³/atom
Total DFT energy (no corrections) = -37.0 eV for the cell shown

Cell lengths 4.593, 4.593, 4.593 Å; angles 60.00, 60.00, 60.00 degrees
Element x y z (fractional)
La  0.750  0.750  0.750
Re  0.250  0.250  0.250
Re  0.000  0.000  0.000
Cr  0.500  0.500  0.500

=====

# La2Tb7Th3

A relaxed La2Tb7Th3 crystal (PBE, Alexandria via LeMat-Bulk).

Formation enthalpy at 0 K = 1.13 eV/f.u.
ρ = 8.797 g/cm³
Total magnetic moment = 0.000 μB/f.u.
Calculated volume = 32.8 Å³/atom
Total DFT energy (no corrections) = -63.4 eV for the cell shown

Cell lengths 3.522, 6.418, 17.954 Å; angles 75.99, 90.00, 90.00 degrees
Element x y z (fractional)
Tb  0.500  0.244  0.495
Tb  0.500  0.073  0.167
Tb  0.000  0.555  0.163
Tb  0.500  0.927  0.833
Tb  0.000  0.445  0.837
Tb  0.500  0.756  0.505
Tb  0.000  0.000  0.000
Th  0.000  0.128  0.338
Th  0.500  0.500  0.000
Th  0.000  0.872  0.662
La  0.500  0.632  0.330
La  0.500  0.368  0.670